Entry 1:
Entry from Alexandria via LeMat-Bulk: a geometry-optimized Na3LiMn2H9 structure (PBE-GGA).

The structure in CIF format:
```
data_Na3LiMn2H9
_chemical_formula_sum 'Na3 Li1 Mn2 H9'
_symmetry_space_group_name_H-M 'P -3 m 1'
_symmetry_Int_Tables_number 164
_symmetry_space_group_name_Hall '-P 3 2"'
_cell_length_a 4.9859
_cell_length_b 4.9859
_cell_length_c 6.0755
_cell_angle_alpha 90.00
_cell_angle_beta 90.00
_cell_angle_gamma 120.00
loop_
_atom_site_label
_atom_site_fract_x
_atom_site_fract_y
_atom_site_fract_z
_atom_site_occupancy
Na1 0.0000 0.0000 0.0000 1
Na2 0.3333 0.6667 0.6576 1
Li1 0.0000 0.0000 0.5000 1
Mn1 0.3333 0.6667 0.1486 1
H1 0.0000 0.5000 0.0000 1
H2 0.1841 0.3683 0.3159 1
```

**Spin magnetization**: 0.22 μB/atom
**Calculated total energy**: -3.73 eV/atom

***

Entry 2:
Entry from Alexandria via LeMat-Bulk: a geometry-optimized LiMn2NiH structure (PBE-GGA).

The structure in CIF format:
```
data_LiMn2NiH
_chemical_formula_sum 'Li1 Mn2 Ni1 H1'
_symmetry_space_group_name_H-M 'P 4/m m m'
_symmetry_Int_Tables_number 123
_symmetry_space_group_name_Hall '-P 4 2'
_cell_length_a 3.893
_cell_length_b 3.893
_cell_length_c 3.430
_cell_angle_alpha 90.00
_cell_angle_beta 90.00
_cell_angle_gamma 90.00
loop_
_atom_site_label
_atom_site_fract_x
_atom_site_fract_y
_atom_site_fract_z
_atom_site_occupancy
Li1 0.000 0.000 0.000 1
Mn1 0.000 0.500 0.500 1
Ni1 0.500 0.500 0.000 1
H1 0.000 0.000 0.500 1
```

**Spin magnetization**: 1.49 μB/atom
**Calculated total energy**: -5.79 eV/atom

***

Entry 3:
Entry from Alexandria via LeMat-Bulk: a geometry-optimized Li2MnNiH structure (PBE-GGA).

The structure in CIF format:
```
data_Li2MnNiH
_chemical_formula_sum 'Li2 Mn1 Ni1 H1'
_symmetry_space_group_name_H-M 'P 4/m m m'
_symmetry_Int_Tables_number 123
_symmetry_space_group_name_Hall '-P 4 2'
_cell_length_a 3.758
_cell_length_b 3.758
_cell_length_c 3.756
_cell_angle_alpha 90.00
_cell_angle_beta 90.00
_cell_angle_gamma 90.00
loop_
_atom_site_label
_atom_site_fract_x
_atom_site_fract_y
_atom_site_fract_z
_atom_site_occupancy
Li1 0.000 0.500 0.000 1
Mn1 0.000 0.000 0.500 1
Ni1 0.500 0.500 0.500 1
H1 0.500 0.500 0.000 1
```

**Spin magnetization**: 0.84 μB/atom
**Calculated total energy**: -4.33 eV/atom